1.
The following is a PBE-GGA calculation of a geometry-optimized Er8IrPt2 structure, from the Alexandria database.

Structure (extended XYZ):
```
11
Lattice="4.958 0.000 0.000 0.000 6.719 0.201 -2.479 -2.645 8.168" Properties=species:S:1:pos:R:3 pbc="T T T"
Er 0.000 1.025 3.404
Er 0.000 1.587 6.782
Er 0.000 -1.557 5.478
Er 0.000 5.150 0.684
Er 2.479 3.049 4.965
Er 2.479 5.631 2.891
Er 2.479 -1.076 7.685
Er 2.479 2.488 1.587
Ir 2.479 0.000 0.000
Pt 0.000 3.803 3.208
Pt 2.479 0.271 5.161
```

V	274.7	Å³/cell
space-group type	C2/m (12)
offset from the most stable computed form	0	meV per atom
ΔE_f	-0.706	eV/atom



2.
The following is a PBE-GGA calculation of a geometry-optimized Er4Ir3Pt structure, from the Alexandria database.

Structure (extended XYZ):
```
16
Lattice="4.761 0.000 0.000 0.000 7.006 0.000 0.000 0.000 9.522" Properties=species:S:1:pos:R:3 pbc="T T T"
Ir 2.379 3.503 2.380
Ir 0.000 0.000 0.000
Ir 2.381 0.000 7.141
Ir 2.381 3.503 7.141
Ir 0.000 0.000 4.761
Ir 2.380 0.000 2.380
Er 2.380 5.263 4.761
Er 0.001 5.263 7.141
Er 2.380 5.263 0.000
Er 2.380 1.743 0.000
Er 0.001 1.742 7.141
Er 4.760 5.263 2.380
Er 2.380 1.743 4.761
Er 4.760 1.742 2.380
Pt 0.000 3.503 0.000
Pt 0.000 3.503 4.761
```

V	317.6	Å³/cell
space-group type	P4/mmm (123)
ΔE_f	-0.982	eV/atom



3.
The following is a PBE-GGA calculation of a geometry-optimized Er4IrPt2 structure, from the Alexandria database.

Structure (extended XYZ):
```
14
Lattice="7.424 -0.801 -0.196 -1.321 7.399 0.241 -2.978 -3.331 5.973" Properties=species:S:1:pos:R:3 pbc="T T T"
Er -0.636 -1.835 4.417
Er 2.760 -2.661 4.395
Er 2.465 -0.628 1.548
Er 5.755 3.949 0.757
Er 3.853 1.954 3.687
Er 1.228 2.671 1.497
Er -0.246 1.663 5.270
Er 5.950 -0.145 1.922
Pt 3.995 1.641 0.801
Pt 3.243 4.672 2.237
Pt 1.656 0.017 4.115
Pt -2.649 0.209 4.877
Ir -0.820 3.392 3.218
Ir 0.315 0.188 0.051
```

V	323.1	Å³/cell
space-group type	P1 (1)
offset from the most stable computed form	14	meV per atom
ΔE_f	-1.039	eV/atom



4.
The following is a PBE-GGA calculation of a geometry-optimized Er8Ir5Pt structure, from the Alexandria database.

Structure (extended XYZ):
```
14
Lattice="-1.670 4.688 -5.452 1.016 -6.756 -2.795 -5.527 -0.170 4.890" Properties=species:S:1:pos:R:3 pbc="T T T"
Er -2.221 -4.592 -0.304
Er -2.242 -0.521 -0.285
Er -5.518 0.226 -0.205
Er 0.491 -4.498 -2.726
Er -5.628 3.743 -2.084
Er -4.984 -3.200 -1.620
Er -3.050 1.782 -2.982
Er -1.574 -1.893 -3.223
Pt -4.055 -2.334 0.907
Ir -0.322 -2.538 -0.456
Ir -3.599 2.259 -0.281
Ir -4.095 -0.808 -2.763
Ir -6.000 0.748 2.505
Ir -1.946 -1.879 -6.000
```

V	309.6	Å³/cell
space-group type	I-4 (82)
ΔE_f	-0.868	eV/atom



5.
The following is a PBE-GGA calculation of a geometry-optimized Er12IrPt6 structure, from the Alexandria database.

Structure (extended XYZ):
```
19
Lattice="8.161 -0.068 -0.082 -1.304 8.056 -0.082 -1.304 -1.520 7.912" Properties=species:S:1:pos:R:3 pbc="T T T"
Pt 4.011 6.338 2.898
Pt 1.091 4.225 6.754
Pt 4.461 2.243 0.995
Pt 1.541 0.131 4.851
Pt 5.656 1.971 5.364
Pt -0.105 4.497 2.385
Er 3.941 0.745 3.278
Er 6.608 -0.706 5.288
Er 1.286 -0.871 7.499
Er 4.266 7.340 0.250
Er 3.093 2.104 6.430
Er 5.413 3.959 3.219
Er 2.459 4.364 1.319
Er 1.611 5.723 4.471
Er -1.056 7.175 2.461
Er 0.139 2.509 4.530
Er 7.252 2.413 0.483
Er -1.700 4.055 7.266
Ir 0.000 0.000 0.000
```

V	517.4	Å³/cell
space-group type	R-3 (148)
ΔE_f	-0.928	eV/atom



6.
The following is a PBE-GGA calculation of a geometry-optimized Er6Ir2Pt structure, from the Alexandria database.

Structure (extended XYZ):
```
18
Lattice="6.585 0.000 0.095 0.000 7.181 0.000 -0.681 0.000 9.823" Properties=species:S:1:pos:R:3 pbc="T T T"
Er 0.595 0.371 7.453
Er 1.676 3.961 7.330
Er 4.997 4.816 5.790
Er 1.959 5.880 4.266
Er 4.228 3.220 2.589
Er 3.944 1.301 5.653
Er 2.045 5.955 0.830
Er 3.859 1.226 9.088
Er 4.911 4.891 9.225
Er 5.309 6.810 2.466
Er 0.993 2.290 0.693
Er 0.907 2.364 4.129
Pt 3.292 3.590 0.048
Pt -0.341 0.000 4.912
Ir 0.159 4.428 2.307
Ir 2.793 0.837 2.652
Ir 5.745 2.753 7.611
Ir 3.111 6.343 7.266
```

V	464.9	Å³/cell
space-group type	P2_1/c (14)
ΔE_f	-0.741	eV/atom